! GGA+U Cr2PO, relaxed; values from VASP
&SYSTEM
  ibrav = 0, nat = 8, ntyp = 3
/
ATOMIC_SPECIES
Cr 52.00 Cr.upf
P 30.97 P.upf
O 16.00 O.upf
CELL_PARAMETERS angstrom
-2.897 2.897 3.637
2.897 -2.897 3.637
2.897 2.897 -3.637
ATOMIC_POSITIONS crystal
Cr 0.069 0.625 0.944
Cr 0.375 0.319 0.444
Cr 0.681 0.125 0.056
Cr 0.875 0.931 0.556
P 0.250 0.750 0.500
P 0.500 0.500 0.000
O 0.000 0.000 0.000
O 0.750 0.250 0.500
! offset from the most stable computed form	0.0	meV/atom
! N(E_F)	1.6	states/eV/f.u.
! calculated total energy	-6.90	eV/atom
! calculated density	4.11	g/cm3